This record from the Alexandria database describes an optimized crystal structure of KTiF4. The functional is PBE.

ΔE_f (raw), eV/atom: -3.090
Magnetization, μB/cell: 0.528
E above lowest polymorph, meV per atom: 112
V, Å³/atom: 17.2
Symmetry: P4/nmm, No. 129

Cell lengths 3.251, 7.959, 7.959 Å; angles 90.00, 90.00, 90.00 degrees
Site moments in Bohr magnetons follow the coordinates.
Positions (direct):
1 K 0.325 0.500 0.000  0.00
2 K 0.675 0.000 0.500  0.00
3 Ti 0.000 0.500 0.500  0.21
4 Ti 0.000 0.000 0.000  0.21
5 F 0.818 0.223 0.000  0.00
6 F 0.818 0.500 0.277  0.00
7 F 0.182 0.723 0.500  0.00
8 F 0.182 0.000 0.223  0.00
9 F 0.182 0.000 0.777  0.00
10 F 0.182 0.277 0.500  0.00
11 F 0.818 0.777 0.000  0.00
12 F 0.818 0.500 0.723  0.00